Compound: RbLiIn2Rh
Source: Alexandria via LeMat-Bulk
Functional: PBE
Structure: optimized geometry

Results
As for the magnetic moment: 0.0 μB/f.u. The value obtained for the formation energy is -0.185 eV/atom.

Structure (CIF):
```
data_RbLiIn2Rh
_chemical_formula_sum 'Rb1 Li1 In2 Rh1'
_symmetry_space_group_name_H-M 'P 4/m m m'
_symmetry_Int_Tables_number 123
_symmetry_space_group_name_Hall '-P 4 2'
_cell_length_a 5.2015
_cell_length_b 5.2015
_cell_length_c 5.2635
_cell_angle_alpha 90.00
_cell_angle_beta 90.00
_cell_angle_gamma 90.00
loop_
_atom_site_label
_atom_site_fract_x
_atom_site_fract_y
_atom_site_fract_z
Rb1 0.0000 0.0000 0.0000
Li1 0.5000 0.5000 0.0000
In1 0.0000 0.5000 0.5000
Rh1 0.5000 0.5000 0.5000
```